No. 1
This record from the Alexandria database describes a relaxed NdPuTe2Se crystal. The functional is PBE.

```
10
Lattice="4.4524 0.0000 0.0000 0.0000 4.4524 0.0000 0.0000 0.0000 16.0348" Properties=species:S:1:pos:R:3 pbc="T T T"
Nd 2.2262 0.0000 1.8141
Nd 0.0000 2.2262 14.2207
Pu 2.2262 0.0000 9.9017
Pu 0.0000 2.2262 6.1331
Te 0.0000 2.2262 11.1697
Te 0.0000 2.2262 1.5216
Te 2.2262 0.0000 14.5132
Te 2.2262 0.0000 4.8651
Se 0.0000 0.0000 8.0174
Se 2.2262 2.2262 8.0174
```

Summary:
Space group = P4/nmm, No. 129
Magnetization = 10.0 μB per cell
Raw formation energy = -1232 meV per atom


No. 2
This record from the Alexandria database describes a relaxed ZrSn2O6 crystal. The functional is PBE.

```
9
Lattice="-2.1360 2.6481 -3.1510 4.2984 -0.2782 -3.1477 -3.8696 -3.6460 -0.4410" Properties=species:S:1:pos:R:3 pbc="T T T"
Zr 0.0000 0.0000 0.0000
Sn 0.5077 -0.0767 -3.8209
Sn -2.2149 -1.1994 -2.9187
O -1.2982 -0.6456 -4.7207
O 2.3042 0.5005 -2.9077
O -3.1248 -1.7380 -1.1086
O -0.1418 1.8695 -3.3910
O -0.4090 -0.6305 -2.0189
O -2.8808 0.7401 -2.4833
```

Summary:
Space group = P-31m, No. 162
Magnetization = 0.0 μB per cell
Raw formation energy = -2124 meV per atom


No. 3
This record from the Alexandria database describes a relaxed Ac3SmTm3Se8 crystal. The functional is PBE.

```
15
Lattice="-7.1291 0.7514 4.2087 -0.0200 -3.2067 -7.6707 3.3095 -4.6252 6.4315" Properties=species:S:1:pos:R:3 pbc="T T T"
Ac 0.0000 0.0000 0.0000
Ac -0.0100 -1.6034 -3.8354
Ac -3.5745 -1.2277 -1.7310
Sm 1.6547 -2.3126 3.2157
Tm -1.9098 -1.9369 5.3201
Tm -1.9198 -3.5403 1.4848
Tm 1.6447 -3.9160 -0.6196
Se -0.9343 -2.7909 -1.0844
Se -2.9053 -4.2897 4.0539
Se -4.4544 -2.2998 1.0746
Se 0.6148 -4.7808 1.8949
Se -4.4445 -0.7681 4.7348
Se 0.6049 -6.3124 -1.7652
Se -1.0431 -1.1266 2.7267
Se -2.7965 -5.9540 0.2428
```

Summary:
Space group = R-3m, No. 166
Magnetization = 0.0 μB per cell
Raw formation energy = -1831 meV per atom